# 1
The following is a GGA-PBE calculation of a geometry-optimized Pm2Er5Sc5 structure, from the Alexandria database.

## Properties
The value obtained for the density is 6.51 g/cm3. For the energy above the most stable polymorph in this dataset, the calculation gives 0 meV/atom. The formation energy is 0.0829 eV per atom.

abc: 16.180 5.444 9.363
angles: 90.00 123.36 90.00
Space group C2/m (No. 12)
Symmetry-distinct sites (fractional):
Pm 0.094 0.000 0.426 x4
Er 0.000 0.000 0.000 x2
Er 0.180 0.000 0.861 x4
Er 0.237 0.500 0.706 x4
Sc 0.000 0.500 0.500 x2
Sc 0.071 0.500 0.878 x4
Sc 0.152 0.500 0.273 x4

=====

# 2
The following is a GGA-PBE calculation of a geometry-optimized La2BeAu4 structure, from the Alexandria database.

## Properties
The value obtained for the density is 10.78 g/cm3. The formation energy is -0.5703 eV per atom.

abc: 4.585 4.585 15.749
angles: 90.00 90.00 90.00
Space group I4/mmm (No. 139)
Symmetry-distinct sites (fractional):
La 0.000 0.000 0.150 x4
Be 0.000 0.000 0.500 x2
Au 0.000 0.000 0.349 x4
Au 0.000 0.500 0.000 x4

=====

# 3
The following is a GGA-PBE calculation of a geometry-optimized CoSiAs3 structure, from the Alexandria database.

## Properties
The value obtained for the density is 5.42 g/cm3. For the energy above the most stable polymorph in this dataset, the calculation gives 0 meV/atom. The value obtained for the uncorrected formation energy is 0.625 eV/atom.

abc: 4.572 4.572 4.572
angles: 90.00 90.00 90.00
Space group Pm-3m (No. 221)
Symmetry-distinct sites (fractional):
Co 0.000 0.000 0.000 x1
Si 0.500 0.500 0.500 x1
As 0.000 0.000 0.500 x3

=====

# 4
The following is a GGA-PBE calculation of a geometry-optimized SiP3I structure, from the Alexandria database.

## Properties
The value obtained for the density is 4.15 g/cm3. For the energy above the most stable polymorph in this dataset, the calculation gives 0 meV/atom. The value obtained for the uncorrected formation energy is 0.837 eV/atom.

abc: 4.631 4.631 4.631
angles: 90.00 90.00 90.00
Space group Pm-3m (No. 221)
Symmetry-distinct sites (fractional):
Si 0.000 0.000 0.000 x1
P 0.000 0.000 0.500 x3
I 0.500 0.500 0.500 x1

=====

# 5
The following is a GGA-PBE calculation of a geometry-optimized LaPmGaPb structure, from the Alexandria database.

## Properties
The value obtained for the density is 8.09 g/cm3. The formation energy is -0.4948 eV per atom.

abc: 7.722 7.722 7.722
angles: 90.00 90.00 90.00
Space group F-43m (No. 216)
Symmetry-distinct sites (fractional):
La 0.000 0.000 0.000 x4
Pm 0.000 0.000 0.500 x4
Ga 0.250 0.250 0.250 x4
Pb 0.250 0.250 0.750 x4

=====

# 6
The following is a GGA-PBE calculation of a geometry-optimized InAgPdAu structure, from the Alexandria database.

## Properties
The value obtained for the density is 12.12 g/cm3. For the energy above the most stable polymorph in this dataset, the calculation gives 15 meV/atom. The formation energy is -0.2314 eV per atom.

abc: 6.606 6.606 6.606
angles: 90.00 90.00 90.00
Space group F-43m (No. 216)
Symmetry-distinct sites (fractional):
In 0.000 0.000 0.000 x4
Ag 0.000 0.000 0.500 x4
Pd 0.250 0.250 0.750 x4
Au 0.250 0.250 0.250 x4

=====

# 7
The following is a GGA-PBE calculation of a geometry-optimized NbCoSn2 structure, from the Alexandria database.

## Properties
The value obtained for the density is 8.28 g/cm3. For the energy above the most stable polymorph in this dataset, the calculation gives 74 meV/atom. The formation energy is 0.3596 eV per atom.

abc: 7.337 7.337 5.804
angles: 90.00 90.00 90.00
Space group I-42d (No. 122)
Symmetry-distinct sites (fractional):
Nb 0.000 0.000 0.000 x4
Co 0.000 0.000 0.500 x4
Sn 0.206 0.750 0.625 x8

=====

# 8
The following is a GGA-PBE calculation of a geometry-optimized Ag3HgSF2 structure, from the Alexandria database.

## Properties
The value obtained for the density is 6.21 g/cm3. The value obtained for the uncorrected formation energy is -0.499 eV/atom.

abc: 4.898 5.322 12.190
angles: 90.00 90.00 90.00
Space group Immm (No. 71)
Symmetry-distinct sites (fractional):
Ag 0.000 0.000 0.000 x2
Ag 0.000 0.500 0.304 x4
Hg 0.000 0.000 0.500 x2
S 0.000 0.500 0.500 x2
F 0.000 0.500 0.134 x4

=====

# 9
The following is a GGA-PBE calculation of a geometry-optimized Hf4GeBi structure, from the Alexandria database.

## Properties
The value obtained for the density is 12.36 g/cm3. The formation energy is -0.2028 eV per atom.

abc: 8.900 12.191 6.626
angles: 90.00 131.89 90.00
Space group C2/c (No. 15)
Symmetry-distinct sites (fractional):
Hf 0.169 0.194 0.233 x8
Hf 0.176 0.070 0.770 x8
Ge 0.000 0.286 0.750 x4
Bi 0.000 0.422 0.250 x4

=====

# 10
The following is a GGA-PBE calculation of a geometry-optimized MnSiP2 structure, from the Alexandria database.

## Properties
The value obtained for the density is 4.83 g/cm3. The value obtained for the uncorrected formation energy is 0.294 eV/atom.

abc: 4.477 4.477 4.978
angles: 90.00 90.00 90.00
Space group I4/mmm (No. 139)
Symmetry-distinct sites (fractional):
Mn 0.000 0.000 0.000 x2
Si 0.000 0.000 0.500 x2
P 0.000 0.500 0.250 x4

=====

# 11
The following is a GGA-PBE calculation of a geometry-optimized Ag2RhPb structure, from the Alexandria database.

## Properties
The value obtained for the density is 11.41 g/cm3. The formation energy is 0.2243 eV per atom.

abc: 3.167 4.247 5.692
angles: 90.00 90.00 90.00
Space group Pmmm (No. 47)
Symmetry-distinct sites (fractional):
Ag 0.000 0.000 0.234 x2
Rh 0.500 0.500 0.000 x1
Pb 0.500 0.500 0.500 x1

=====

# 12
The following is a GGA-PBE calculation of a geometry-optimized NdEr2Rh3 structure, from the Alexandria database.

## Properties
The value obtained for the density is 10.65 g/cm3. For the energy above the most stable polymorph in this dataset, the calculation gives 3 meV/atom. The formation energy is -0.8222 eV per atom.

abc: 4.8663 4.8663 5.9852
angles: 90.00 90.00 120.00
Space group P-3m1 (No. 164)
Symmetry-distinct sites (fractional):
Nd 0.0000 0.0000 0.0000 x1
Er 0.3333 0.6667 0.6623 x2
Rh 0.0000 0.0000 0.5000 x1
Rh 0.3333 0.6667 0.1780 x2